No. 1
# Re2OsRh | the Alexandria database | PBE | relaxed
# DFT formation energy = -0.0158 eV per atom
# crystal system = tetragonal
# polymorph energy (0 for the lowest one) = 0.122 eV/atom
# size of the total moment = 0.0 μB/f.u.
data_Re2OsRh
_chemical_formula_sum 'Re4 Os2 Rh2'
_cell_length_a 3.889
_cell_length_b 3.889
_cell_length_c 7.703
_cell_angle_alpha 90.00
_cell_angle_beta 90.00
_cell_angle_gamma 90.00
_space_group_name_H-M_alt 'I 4/m m m'
_space_group_IT_number 139
_space_group_name_Hall '-I 4 2'
loop_
_atom_site_label
_atom_site_type_symbol
_atom_site_fract_x
_atom_site_fract_y
_atom_site_fract_z
_atom_site_occupancy
Re1 Re 0.000 0.500 0.250 1
Os1 Os 0.000 0.000 0.000 1
Rh1 Rh 0.000 0.000 0.500 1

***

No. 2
# Cd2Sb2Br | the Alexandria database | PBE | relaxed
# crystal system = tetragonal
# polymorph energy (0 for the lowest one) = 0.177 eV/atom
# size of the total moment = 0.0 μB/f.u.
# uncorrected formation energy = 4.7 kJ/mol of atoms
data_Cd2Sb2Br
_chemical_formula_sum 'Cd4 Sb4 Br2'
_cell_length_a 8.944
_cell_length_b 8.944
_cell_length_c 3.378
_cell_angle_alpha 90.00
_cell_angle_beta 90.00
_cell_angle_gamma 90.00
_space_group_name_H-M_alt 'P 4/m b m'
_space_group_IT_number 127
_space_group_name_Hall '-P 4 2ab'
loop_
_atom_site_label
_atom_site_type_symbol
_atom_site_fract_x
_atom_site_fract_y
_atom_site_fract_z
_atom_site_occupancy
Cd1 Cd 0.151 0.349 0.000 1
Sb1 Sb 0.149 0.649 0.500 1
Br1 Br 0.000 0.000 0.500 1

***

- Look up the polymorph energy (0 for the lowest one) of the second one.
  0.177 eV/atom

***

What did the first record say?
# Re2OsRh | the Alexandria database | PBE | relaxed
# DFT formation energy = -0.0158 eV per atom
# crystal system = tetragonal
# polymorph energy (0 for the lowest one) = 0.122 eV/atom
# size of the total moment = 0.0 μB/f.u.
data_Re2OsRh
_chemical_formula_sum 'Re4 Os2 Rh2'
_cell_length_a 3.889
_cell_length_b 3.889
_cell_length_c 7.703
_cell_angle_alpha 90.00
_cell_angle_beta 90.00
_cell_angle_gamma 90.00
_space_group_name_H-M_alt 'I 4/m m m'
_space_group_IT_number 139
_space_group_name_Hall '-I 4 2'
loop_
_atom_site_label
_atom_site_type_symbol
_atom_site_fract_x
_atom_site_fract_y
_atom_site_fract_z
_atom_site_occupancy
Re1 Re 0.000 0.500 0.250 1
Os1 Os 0.000 0.000 0.000 1
Rh1 Rh 0.000 0.000 0.500 1

***

- size of the total moment of number 2 (Cd2Sb2Br)?
  0.0 μB/f.u.

***

- Which value of size of the total moment does entry 2 give?
  0.0 μB/f.u.